The following is a DFT calculation (SCAN) of CaCrNi at its PBEsol-relaxed geometry.

POSCAR file:
```
CaCrNi
1.0
0.000 3.102 3.102
3.102 0.000 3.102
3.102 3.102 0.000
Ca Cr Ni
1 1 1
direct
0.000 0.000 0.000 Ca
0.500 0.500 0.500 Cr
0.750 0.750 0.750 Ni
```

## Properties
DFT formation energy = 0.450 eV per atom
magnetization = 4.2 μB per formula unit
symmetry = No. 216

The following is a DFT calculation (SCAN) of ZrRuAu at its PBEsol-relaxed geometry.

POSCAR file:
```
ZrRuAu
1.0
0.000 3.096 3.096
3.096 0.000 3.096
3.096 3.096 0.000
Zr Ru Au
1 1 1
direct
0.000 0.000 0.000 Zr
0.250 0.250 0.250 Ru
0.500 0.500 0.500 Au
```

## Properties
DFT formation energy = -0.029 eV per atom
magnetization = 0.0 μB per formula unit
symmetry = No. 216
distance to the lowest polymorph of the same formula = 158 meV/atom

The following is a DFT calculation (SCAN) of FeNi2 at its PBEsol-relaxed geometry.

POSCAR file:
```
FeNi2
1.0
-1.745 1.745 10.462
1.745 -1.745 10.462
1.745 1.745 -10.462
Fe Ni
4 8
direct
0.292 0.542 0.750 Fe
0.458 0.708 0.750 Fe
0.542 0.292 0.250 Fe
0.708 0.458 0.250 Fe
0.042 0.792 0.250 Ni
0.125 0.375 0.750 Ni
0.208 0.958 0.250 Ni
0.375 0.125 0.250 Ni
0.625 0.875 0.750 Ni
0.792 0.042 0.750 Ni
0.875 0.625 0.250 Ni
0.958 0.208 0.750 Ni
```

## Properties
DFT formation energy = -0.146 eV per atom
magnetization = 4.4 μB per formula unit
symmetry = No. 141

The following is a DFT calculation (SCAN) of Li5FeO3F at its PBEsol-relaxed geometry.

POSCAR file:
```
Li5FeO3F
1.0
4.569 -4.499 0.000
4.569 4.499 0.000
-1.035 0.000 4.569
Li Fe O F
10 2 6 2
direct
0.070 0.670 0.625 Li
0.164 0.576 0.117 Li
0.330 0.930 0.375 Li
0.358 0.358 0.610 Li
0.424 0.836 0.883 Li
0.576 0.164 0.117 Li
0.642 0.642 0.390 Li
0.670 0.070 0.625 Li
0.836 0.424 0.883 Li
0.930 0.330 0.375 Li
0.123 0.123 0.880 Fe
0.877 0.877 0.120 Fe
0.099 0.389 0.753 O
0.146 0.854 0.000 O
0.389 0.099 0.753 O
0.611 0.901 0.247 O
0.854 0.146 0.000 O
0.901 0.611 0.247 O
0.353 0.647 0.500 F
0.647 0.353 0.500 F
```

## Properties
magnetization = 2.0 μB per formula unit
symmetry = No. 12
distance to the lowest polymorph of the same formula = 0 meV/atom
uncorrected formation energy = -2.06 eV per atom